1.
Density functional theory data (GGA-PBE) for RbSr2NCl after structural relaxation.

* symmetry: P4/mmm, No. 123
* spin magnetization: 0.0 μB/cell
* DFT total energy: -2.5613 eV per atom
* ΔE_f (raw): 0.34 eV per atom

```
5
Lattice="5.6410 0.0000 0.0000 0.0000 5.6283 0.0000 0.0000 0.0000 5.6410" Properties=species:S:1:pos:R:3 pbc="T T T"
N 0.0000 2.8141 0.0000
Sr 0.0000 0.0000 2.8205
Sr 2.8205 0.0000 0.0000
Cl 0.0000 0.0000 0.0000
Rb 2.8205 2.8141 2.8205
```

=====

2.
Density functional theory data (GGA-PBE) for Rb2SrNCl6 after structural relaxation.

* symmetry: I4/mmm, No. 139
* spin magnetization: 3.0 μB/cell
* DFT total energy: -3.2154 eV per atom
* ΔE_f (raw): -0.91 eV per atom

```
10
Lattice="-5.7553 6.0111 -0.8834 -3.8804 -4.5730 -5.8366 -7.3579 -1.2392 -0.1370" Properties=species:S:1:pos:R:3 pbc="T T T"
Rb -8.0281 -2.5466 -4.6668
Rb -8.9655 2.7455 -2.1902
N -4.8178 0.7190 -3.3600
Cl -11.1990 0.2328 -4.7364
Cl -7.3607 1.0985 -5.1334
Cl -2.2750 0.3395 -1.5866
Cl -5.3126 3.5122 -2.0529
Cl -4.3231 -2.0741 -4.6672
Cl -5.7946 -0.0340 -2.1207
Sr 0.0000 0.0000 0.0000
```

=====

3.
Density functional theory data (GGA-PBE) for Rb2TaNCl6 after structural relaxation.

* symmetry: I4/mmm, No. 139
* spin magnetization: 0.0 μB/cell
* DFT total energy: -4.1193 eV per atom
* ΔE_f (raw): -0.80 eV per atom

```
10
Lattice="-2.9096 7.4053 0.5911 -1.0077 -1.0224 7.8481 2.2360 4.7801 4.9651" Properties=species:S:1:pos:R:3 pbc="T T T"
N -1.9586 3.1915 4.2196
Ta 0.0000 0.0000 0.0000
Cl -1.6841 7.2287 8.8361
Cl 0.0028 3.9343 4.5682
Cl -3.0768 5.0134 6.6284
Cl -2.5015 5.5970 2.1482
Cl -1.4158 0.7859 6.2910
Cl -0.8405 1.3696 1.8108
Rb -1.3161 7.6884 4.8879
Rb -0.3652 3.4746 8.5164
```

=====

4.
Density functional theory data (GGA-PBE) for Rb2TcNCl6 after structural relaxation.

* symmetry: I4/mmm, No. 139
* spin magnetization: 6.0 μB/cell
* DFT total energy: -3.8531 eV per atom
* ΔE_f (raw): -0.68 eV per atom

```
10
Lattice="-2.7502 -6.6653 -2.0155 -1.0506 -1.7450 7.2043 -6.7602 -2.1371 2.3866" Properties=species:S:1:pos:R:3 pbc="T T T"
Cl -1.4325 -2.8505 5.1329
Cl -4.5735 -3.0676 2.4801
Cl -2.3683 -5.5598 0.0559
Cl -0.8539 -1.8896 1.1658
Cl -5.9874 -7.4798 5.0953
Cl -2.9469 -6.5207 4.0231
N -1.9004 -4.2051 2.5944
Tc 0.0000 0.0000 0.0000
Rb -4.8556 -4.0436 6.0927
Rb -5.7054 -6.5038 1.4828
```